Compound: Ce3S3F2
Source: Alexandria
Functional: PBE
Structure: optimized geometry

Output
**Calculated total energy**: -6.772 eV per atom

The structure in CIF format:
```
data_Ce3S3F2
_chemical_formula_sum 'Ce3 S3 F2'
_cell_length_a 10.9572
_cell_length_b 10.9572
_cell_length_c 10.9572
_cell_angle_alpha 160.45
_cell_angle_beta 158.52
_cell_angle_gamma 29.20
_symmetry_space_group_name_H-M 'P 1'
_symmetry_Int_Tables_number 1
_symmetry_space_group_name_Hall 'P 1'
loop_
_atom_site_label
_atom_site_type_symbol
_atom_site_fract_x
_atom_site_fract_y
_atom_site_fract_z
Ce1 Ce 0.0000 0.0000 0.0000
Ce2 Ce 0.3285 0.8285 0.5000
Ce3 Ce 0.6715 0.1715 0.5000
S1 S 0.1239 0.6239 0.5000
S2 S 0.5000 0.5000 0.0000
S3 S 0.8761 0.3761 0.5000
F1 F 0.2502 0.2502 0.0000
F2 F 0.7498 0.7498 0.0000
```